Arrangement a

Entry from the Alexandria database: a relaxed structure of Fe2Co3 (GGA-PBE).

a b c (Å): 3.8951 3.8951 4.8050
angles (deg): 90.00 90.00 120.00
Last column: nearest neighbours and their distance in Å.
Positions (direct):
Fe 0.3333 0.6667 0.3373  8 Co 2.34-2.47
Fe 0.6667 0.3333 0.6627  8 Co 2.34-2.47
Co 0.0000 0.0000 0.5000  6 Fe 2.38
Co 0.3333 0.6667 0.8510  5 Fe 2.34-2.47
Co 0.6667 0.3333 0.1490  5 Fe 2.34-2.47

Magnetization: 2.037 μB/atom
SG: P-3m1 (164)
Mass density: 7.588 g cm⁻³

***

Arrangement b

Entry from the Alexandria database: a relaxed structure of Fe2Co3 (GGA-PBE).

a b c (Å): 7.3609 7.3609 7.3609
angles (deg): 157.82 157.82 31.57
Last column: nearest neighbours and their distance in Å.
Positions (direct):
Fe 0.1014 0.1014 0.0000  8 Co 2.42-2.46
Fe 0.8986 0.8986 0.0000  8 Co 2.42-2.46
Co 0.3026 0.3026 0.0000  4 Fe 2.42, 4 Co 2.50
Co 0.5000 0.5000 0.0000  8 Fe 2.46
Co 0.6974 0.6974 0.0000  4 Fe 2.42, 4 Co 2.50

Magnetization: 2.083 μB/atom
SG: I4/mmm (139)
Mass density: 8.433 g cm⁻³

***

Short version: arrangement b, arrangement a, most stable first.

***

Arrangement a

Entry from the Alexandria database: a relaxed structure of Fe2Co3 (GGA-PBE).

a b c (Å): 4.7136 4.7136 4.7136
angles (deg): 50.24 50.24 50.24
Last column: nearest neighbours and their distance in Å.
Positions (direct):
Fe 0.0992 0.0992 0.0992  7 Co 2.43-2.46, 1 Fe 2.45
Fe 0.9008 0.9008 0.9008  7 Co 2.43-2.46, 1 Fe 2.45
Co 0.2967 0.2967 0.2967  4 Fe 2.43-2.44, 4 Co 2.48-2.51
Co 0.5000 0.5000 0.5000  6 Fe 2.46, 2 Co 2.51
Co 0.7033 0.7033 0.7033  4 Fe 2.43-2.44, 4 Co 2.48-2.51

Magnetization: 2.127 μB/atom
SG: R-3m (166)
Mass density: 8.407 g cm⁻³

***

Arrangement b

Entry from the Alexandria database: a relaxed structure of Fe2Co3 (GGA-PBE).

a b c (Å): 4.0619 4.0619 4.0619
angles (deg): 93.61 93.61 93.61
Last column: nearest neighbours and their distance in Å.
Positions (direct):
Fe 0.1832 0.1832 0.1832  6 Co 2.32-2.51, 1 Fe 2.41
Fe 0.8168 0.8168 0.8168  6 Co 2.32-2.51, 1 Fe 2.41
Co 0.2643 0.5000 0.7357  4 Fe 2.32-2.51, 4 Co 2.41-2.42
Co 0.5000 0.7357 0.2643  4 Fe 2.32-2.51, 4 Co 2.41-2.42
Co 0.7357 0.2643 0.5000  4 Fe 2.32-2.51, 4 Co 2.41-2.42

Magnetization: 2.066 μB/atom
SG: R32 (155)
Mass density: 7.193 g cm⁻³

***

Arrangement c

Entry from the Alexandria database: a relaxed structure of Fe2Co3 (GGA-PBE).

a b c (Å): 10.1152 10.0219 2.4553
angles (deg): 85.16 80.84 14.00
Last column: nearest neighbours and their distance in Å.
Positions (direct):
Fe 0.1004 0.1004 0.8996  4 Co 2.45-2.46, 4 Fe 2.46
Fe 0.8996 0.8996 0.1004  4 Co 2.45-2.46, 4 Fe 2.46
Co 0.2997 0.2997 0.7003  6 Co 2.44-2.46, 2 Fe 2.45
Co 0.5000 0.5000 0.5000  4 Co 2.46, 4 Fe 2.46
Co 0.7003 0.7003 0.2997  6 Co 2.44-2.46, 2 Fe 2.45

Magnetization: 2.098 μB/atom
SG: Fmmm (69)
Mass density: 8.433 g cm⁻³

***

Short version: arrangement a, arrangement c, arrangement b, most stable first.